# Lu2Pt2O7 (GGA-PBE, optimized geometry)
# Calculated density (g/cm3): 10.830
# E_form (uncorrected) (meV per atom): -2053
# Final energy (eV/atom): -7.13
data_Lu2Pt2O7
_chemical_formula_sum 'Lu4 Pt4 O14'
_cell_length_a 7.176
_cell_length_b 7.176
_cell_length_c 7.176
_cell_angle_alpha 60.00
_cell_angle_beta 60.00
_cell_angle_gamma 60.00
_symmetry_space_group_name_H-M 'P 1'
_symmetry_Int_Tables_number 1
loop_
_symmetry_equiv_pos_as_xyz
'x,y,z'
loop_
_atom_site_label
_atom_site_fract_x
_atom_site_fract_y
_atom_site_fract_z
Lu1 0.000 0.000 0.000
Lu2 0.000 0.000 0.500
Lu3 0.000 0.500 0.000
Lu4 0.500 0.000 0.000
Pt1 0.000 0.500 0.500
Pt2 0.500 0.000 0.500
Pt3 0.500 0.500 0.000
Pt4 0.500 0.500 0.500
O1 0.125 0.125 0.125
O2 0.155 0.155 0.595
O3 0.155 0.595 0.155
O4 0.155 0.595 0.595
O5 0.405 0.405 0.845
O6 0.405 0.845 0.405
O7 0.405 0.845 0.845
O8 0.595 0.155 0.155
O9 0.595 0.155 0.595
O10 0.595 0.595 0.155
O11 0.845 0.405 0.405
O12 0.845 0.405 0.845
O13 0.845 0.845 0.405
O14 0.875 0.875 0.875

# LiMg2Cu (GGA-PBE, optimized geometry)
# Calculated density (g/cm3): 2.824
# Final energy (eV/atom): -2.33
data_LiMg2Cu
_chemical_formula_sum 'Li1 Mg2 Cu1'
_cell_length_a 2.961
_cell_length_b 4.442
_cell_length_c 5.504
_cell_angle_alpha 90.00
_cell_angle_beta 104.69
_cell_angle_gamma 90.00
_symmetry_space_group_name_H-M 'P 1'
_symmetry_Int_Tables_number 1
loop_
_symmetry_equiv_pos_as_xyz
'x,y,z'
loop_
_atom_site_label
_atom_site_fract_x
_atom_site_fract_y
_atom_site_fract_z
Li1 0.000 0.000 0.000
Mg1 0.294 0.000 0.547
Mg2 0.613 0.500 0.209
Cu1 0.900 0.500 0.745

# TmSc2PaP4 (GGA-PBE, optimized geometry)
# Calculated density (g/cm3): 6.275
# Final energy (eV/atom): -7.51
data_TmSc2PaP4
_chemical_formula_sum 'Tm1 Sc2 Pa1 P4'
_cell_length_a 6.645
_cell_length_b 3.875
_cell_length_c 6.697
_cell_angle_alpha 90.00
_cell_angle_beta 109.64
_cell_angle_gamma 90.00
_symmetry_space_group_name_H-M 'P 1'
_symmetry_Int_Tables_number 1
loop_
_symmetry_equiv_pos_as_xyz
'x,y,z'
loop_
_atom_site_label
_atom_site_fract_x
_atom_site_fract_y
_atom_site_fract_z
Tm1 0.000 0.000 0.000
Sc1 0.500 0.000 0.500
Sc2 0.500 0.500 0.000
Pa1 0.000 0.500 0.500
P1 0.260 0.500 0.255
P2 0.263 0.000 0.755
P3 0.737 0.000 0.245
P4 0.740 0.500 0.745